Record 1
LaZr2Pt2: optimized geometry, GGA-PBE.

The structure in POSCAR format:
```
LaZr2Pt2
1.0
-1.791 2.177 5.692
-5.704 2.766 0.402
2.377 -5.397 -2.359
Zr Pt La
2 2 1
direct
0.250 0.750 0.500 Zr
0.750 0.250 0.500 Zr
0.376 0.376 0.000 Pt
0.624 0.624 0.000 Pt
0.000 0.000 0.000 La
```

Calculated values
SG   I4/mmm, No. 139
Formation energy from the elements   -424 kJ/mol of formula units
Uncorrected energy   -38.527 eV for the cell shown
Density   9.98 g/cm3
Total magnetization   0.014 μB/f.u.

***

Record 2
TbHo2Tl3AgIr2: optimized geometry, GGA-PBE.

The structure in POSCAR format:
```
TbHo2Tl3AgIr2
1.0
3.796 0.000 0.000
0.000 6.801 3.914
0.000 -6.801 3.914
Ir Ho Tl Ag Tb
2 2 3 1 1
direct
0.500 0.332 0.667 Ir
0.500 0.667 0.332 Ir
0.000 0.412 0.000 Ho
0.000 0.000 0.412 Ho
0.500 0.729 0.000 Tl
0.500 0.000 0.729 Tl
0.500 0.271 0.271 Tl
0.000 0.000 0.000 Ag
0.000 0.589 0.589 Tb
```

Calculated values
SG   Amm2, No. 38
Uncorrected energy   -45.316 eV for the cell shown
Density   13.10 g/cm3
Total magnetization   0.016 μB/f.u.

***

Record 3
Tb2DyZn3FeAu2: optimized geometry, GGA-PBE.

The structure in POSCAR format:
```
Tb2DyZn3FeAu2
1.0
-3.463 1.855 -0.325
-0.920 -0.453 7.225
3.373 5.790 -2.890
Zn Dy Tb Fe Au
3 1 2 1 2
direct
0.500 0.769 0.000 Zn
0.500 0.231 0.231 Zn
0.500 0.000 0.769 Zn
0.000 0.605 0.605 Dy
0.000 0.395 0.000 Tb
0.000 0.000 0.395 Tb
0.000 0.000 0.000 Fe
0.500 0.334 0.667 Au
0.500 0.667 0.334 Au
```

Calculated values
SG   Amm2, No. 38
Formation energy from the elements   -422 kJ/mol of formula units
Uncorrected energy   -36.865 eV for the cell shown
Density   10.28 g/cm3
Total magnetization   2.145 μB/f.u.

***

Record 4
Y5Ho2Al: optimized geometry, GGA-PBE.

The structure in POSCAR format:
```
Y5Ho2Al
1.0
5.505 0.000 0.000
0.000 3.545 6.117
0.000 -3.545 6.117
Al Y Ho
1 5 2
direct
0.000 0.834 0.834 Al
0.000 0.332 0.840 Y
0.500 0.166 0.166 Y
0.500 0.156 0.670 Y
0.000 0.840 0.332 Y
0.500 0.670 0.156 Y
0.500 0.672 0.672 Ho
0.000 0.330 0.330 Ho
```

Calculated values
SG   Amm2, No. 38
Uncorrected energy   -45.422 eV for the cell shown
Density   5.57 g/cm3
Total magnetization   0.433 μB/f.u.

***

Record 5
BaHfTa: optimized geometry, GGA-PBE.

The structure in POSCAR format:
```
BaHfTa
1.0
0.000 3.539 3.539
3.539 0.000 3.539
3.539 3.539 0.000
Ta Ba Hf
1 1 1
direct
0.000 0.000 0.000 Ta
0.250 0.250 0.250 Ba
0.750 0.750 0.750 Hf
```

Calculated values
Distance to the lowest polymorph of the same formula   0 meV/atom
SG   F-43m, No. 216
Uncorrected energy   -19.299 eV for the cell shown
Density   9.30 g/cm3
Total magnetization   0.568 μB/f.u.

***

Record 6
NdMgB: optimized geometry, GGA-PBE.

The structure in POSCAR format:
```
NdMgB
1.0
0.000 3.141 3.141
3.141 0.000 3.141
3.141 3.141 0.000
Mg Nd B
1 1 1
direct
0.000 0.000 0.000 Mg
0.750 0.750 0.750 Nd
0.250 0.250 0.250 B
```

Calculated values
Distance to the lowest polymorph of the same formula   763 meV/atom
SG   F-43m, No. 216
Uncorrected energy   -10.601 eV for the cell shown
Density   4.81 g/cm3
Total magnetization   0.001 μB/f.u.

***

Record 7
Na4In2PtAu: optimized geometry, GGA-PBE.

The structure in POSCAR format:
```
Na4In2PtAu
1.0
4.891 0.000 0.000
0.000 4.891 0.000
0.000 0.000 6.944
Na Pt In Au
4 1 2 1
direct
0.500 0.500 0.500 Na
0.000 0.500 0.252 Na
0.000 0.000 0.000 Na
0.500 0.000 0.748 Na
0.000 0.000 0.500 Pt
0.500 0.000 0.265 In
0.000 0.500 0.735 In
0.500 0.500 0.000 Au
```

Calculated values
SG   P-4m2, No. 115
Uncorrected energy   -21.948 eV for the cell shown
Density   7.13 g/cm3
Total magnetization   0.007 μB/f.u.

***

Record 8
Zr3Pb2Au2: optimized geometry, GGA-PBE.

The structure in POSCAR format:
```
Zr3Pb2Au2
1.0
-6.929 3.480 3.480
-3.480 3.480 6.929
-3.480 6.929 3.480
Pb Zr Au
2 3 2
direct
0.243 0.243 0.243 Pb
0.755 0.755 0.755 Pb
0.876 0.876 0.876 Zr
0.626 0.626 0.626 Zr
0.372 0.372 0.372 Zr
0.010 0.010 0.010 Au
0.493 0.493 0.493 Au
```

Calculated values
SG   R3m, No. 160
Uncorrected energy   -40.699 eV for the cell shown
Density   10.88 g/cm3
Total magnetization   0.017 μB/f.u.